Entry 1:
ScRe4 after structural relaxation. Source: the Alexandria database, functional GGA-PBE.

Output
- formation energy (eV/atom) = 0.148
- energy above the lowest structure with this stoichiometry (eV per atom) = 0.000
- volume (Å³/cell) = 94.0
- E (eV/atom) = -11.077

Geometry as POSCAR:
```
ScRe4
1.0
-2.112 2.112 5.267
2.112 -2.112 5.267
2.112 2.112 -5.267
Sc Re
1 4
Cartesian
0.000 0.000 0.000
2.112 0.000 2.634
0.000 0.000 4.011
0.000 0.000 6.523
0.000 2.112 2.634
```

***

Entry 2:
Ce2DySe5 after structural relaxation. Source: the Alexandria database, functional GGA-PBE.

Output
- formation energy without anion corrections (eV/f.u.) = -14.2
- volume (Å³/cell) = 813.0
- E (eV/atom) = -6.009

Geometry as POSCAR:
```
Ce2DySe5
1.0
12.399 0.000 0.000
0.000 8.433 0.000
0.000 0.000 7.776
Ce Dy Se
8 4 20
Cartesian
2.233 0.009 0.127
2.233 4.207 0.127
3.966 4.225 4.015
3.966 8.423 4.015
8.433 0.009 3.761
8.433 4.207 3.761
10.166 4.225 7.649
10.166 8.423 7.649
0.098 6.324 4.491
6.101 2.108 0.603
6.298 6.324 7.173
12.301 2.108 3.285
0.032 6.324 7.495
1.254 0.354 5.156
1.254 3.862 5.156
2.290 6.324 2.539
2.648 2.108 2.324
3.551 6.324 6.212
3.909 2.108 6.427
4.945 4.571 1.268
4.945 8.078 1.268
6.168 2.108 3.607
6.231 6.324 4.169
7.454 0.354 6.508
7.454 3.862 6.508
8.490 6.324 1.349
8.848 2.108 1.564
9.751 6.324 5.452
10.109 2.108 5.237
11.145 4.571 2.620
11.145 8.078 2.620
12.367 2.108 0.281
```

***

Entry 3:
Sc2MnSe after structural relaxation. Source: the Alexandria database, functional GGA-PBE.

Output
- formation energy without anion corrections (eV/f.u.) = -1.6
- volume (Å³/cell) = 74.5
- E (eV/atom) = -6.732

Geometry as POSCAR:
```
Sc2MnSe
1.0
-1.953 1.953 4.882
1.953 -1.953 4.882
1.953 1.953 -4.882
Sc Mn Se
2 1 1
Cartesian
0.000 0.000 0.000
0.000 1.953 2.441
0.000 0.000 4.882
1.953 0.000 2.441
```

***

Entry 4:
CoNi2Pt2 after structural relaxation. Source: the Alexandria database, functional GGA-PBE.

Output
- formation energy (eV/atom) = 0.158
- energy above the lowest structure with this stoichiometry (eV per atom) = 0.000
- volume (Å³/cell) = 136.3
- E (eV/atom) = -5.992

Geometry as POSCAR:
```
CoNi2Pt2
1.0
-1.378 4.263 5.803
1.378 -4.263 5.803
1.378 4.263 -5.803
Co Ni Pt
2 4 4
Cartesian
0.000 2.131 1.987
1.378 2.131 3.816
1.378 -2.131 3.851
1.378 2.131 0.016
0.000 2.131 5.787
0.000 6.394 1.952
1.378 -0.004 1.523
1.378 4.258 -1.523
0.000 0.004 7.326
0.000 4.267 4.280
```

***

Entry 5:
CrOs2Rh after structural relaxation. Source: the Alexandria database, functional GGA-PBE.

Output
- formation energy (eV/atom) = 0.122
- energy above the lowest structure with this stoichiometry (eV per atom) = 0.086
- volume (Å³/cell) = 110.8
- E (eV/atom) = -9.737

Geometry as POSCAR:
```
CrOs2Rh
1.0
1.339 -4.915 0.000
1.339 4.915 0.000
0.000 0.000 8.419
Cr Os Rh
2 4 2
Cartesian
1.339 4.782 6.314
1.339 -4.782 2.105
1.339 1.248 4.406
1.339 1.248 8.222
1.339 -1.248 0.197
1.339 -1.248 4.013
1.339 2.421 2.105
1.339 -2.421 6.314
```

***

Entry 6:
LiPrZnCo after structural relaxation. Source: the Alexandria database, functional GGA-PBE.

Output
- formation energy (eV/atom) = 0.027
- volume (Å³/cell) = 70.8
- E (eV/atom) = -3.741

Geometry as POSCAR:
```
LiPrZnCo
1.0
0.000 3.284 3.284
3.284 0.000 3.284
3.284 3.284 0.000
Li Pr Zn Co
1 1 1 1
Cartesian
0.000 0.000 0.000
4.926 4.926 4.926
1.642 1.642 1.642
3.284 3.284 3.284
```

***

Entry 7:
AlCrSiAu2 after structural relaxation. Source: the Alexandria database, functional GGA-PBE.

Output
- formation energy without anion corrections (eV/f.u.) = 5.8
- volume (Å³/cell) = 104.4
- E (eV/atom) = -3.909

Geometry as POSCAR:
```
AlCrSiAu2
1.0
4.773 0.000 0.000
0.000 4.773 0.000
0.000 0.000 4.583
Al Cr Si Au
1 1 1 2
Cartesian
0.000 0.000 0.000
2.387 2.387 2.291
0.000 0.000 2.291
0.000 2.387 0.000
2.387 0.000 0.000
```

***

Entry 8:
TeBrF after structural relaxation. Source: the Alexandria database, functional GGA-PBE.

Output
- formation energy without anion corrections (eV/f.u.) = -2.8
- energy above the lowest structure with this stoichiometry (eV per atom) = 0.015
- volume (Å³/cell) = 176.2
- E (eV/atom) = -3.158

Geometry as POSCAR:
```
TeBrF
1.0
4.291 0.000 0.000
-1.379 5.029 0.000
-1.264 -1.687 8.167
Te Br F
2 2 2
Cartesian
0.000 0.000 0.000
0.593 4.002 1.974
-1.125 3.631 3.963
1.351 1.216 6.744
0.150 2.027 1.113
2.131 0.812 2.626
```

***

Entry 9:
RbSn2HgRu after structural relaxation. Source: the Alexandria database, functional GGA-PBE.

Output
- formation energy (eV/atom) = -0.032
- volume (Å³/cell) = 146.6
- E (eV/atom) = -3.742

Geometry as POSCAR:
```
RbSn2HgRu
1.0
5.158 0.000 0.000
0.000 5.158 0.000
0.000 0.000 5.510
Rb Sn Hg Ru
1 2 1 1
Cartesian
0.000 0.000 0.000
0.000 2.579 2.755
2.579 0.000 2.755
2.579 2.579 0.000
2.579 2.579 2.755
```

***

Entry 10:
BaBePt after structural relaxation. Source: the Alexandria database, functional GGA-PBE.

Output
- formation energy (eV/atom) = -0.489
- energy above the lowest structure with this stoichiometry (eV per atom) = 0.071
- volume (Å³/cell) = 157.3
- E (eV/atom) = -4.386

Geometry as POSCAR:
```
BaBePt
1.0
4.373 0.000 0.000
-0.020 6.214 0.000
-2.165 -1.491 5.787
Ba Be Pt
2 2 2
Cartesian
0.017 1.606 1.219
2.172 3.117 4.568
0.013 -0.015 4.042
2.176 4.737 1.745
-0.010 4.758 2.240
2.199 -0.035 3.547
```

***

Entry 11:
PrNd2Hg2 after structural relaxation. Source: the Alexandria database, functional GGA-PBE.

Output
- formation energy (eV/atom) = -0.337
- energy above the lowest structure with this stoichiometry (eV per atom) = 0.038
- volume (Å³/cell) = 297.5
- E (eV/atom) = -3.321

Geometry as POSCAR:
```
PrNd2Hg2
1.0
5.417 0.000 0.000
-2.693 6.067 0.000
-0.013 -2.443 9.053
Pr Nd Hg
2 4 4
Cartesian
-1.341 5.457 2.258
4.053 -1.833 6.796
-1.353 1.895 7.782
1.347 0.503 5.793
1.365 3.121 3.260
4.065 1.729 1.272
-1.344 3.286 4.917
1.344 -0.881 8.663
1.368 4.505 0.391
4.056 0.338 4.137
```

***

Entry 12:
CsTl4Hg4 after structural relaxation. Source: the Alexandria database, functional GGA-PBE.

Output
- formation energy (eV/atom) = -0.080
- energy above the lowest structure with this stoichiometry (eV per atom) = 0.000
- volume (Å³/cell) = 630.5
- E (eV/atom) = -1.361

Geometry as POSCAR:
```
CsTl4Hg4
1.0
7.570 0.000 0.000
0.000 7.570 0.000
0.000 0.000 11.004
Cs Tl Hg
2 8 8
Cartesian
1.892 5.677 2.751
5.677 1.892 8.253
0.159 1.892 1.317
1.892 0.159 6.819
1.892 3.626 6.819
3.626 1.892 1.317
3.944 5.677 9.686
5.677 3.944 4.184
5.677 7.411 4.184
7.411 5.677 9.686
0.376 1.892 4.444
1.892 0.376 9.946
1.892 3.409 9.946
3.409 1.892 4.444
4.161 5.677 6.559
5.677 4.161 1.058
5.677 7.194 1.058
7.194 5.677 6.559
```